Run A
## LiPrCdSe3 (PBE)

Data for LiPrCdSe3 after structural relaxation.

a = 11.492 Å, b = 6.912 Å, c = 6.912 Å
α = 144.66°, β = 90.00°, γ = 90.00°
Fractional coordinates of all 12 atoms:
Cd: 0.250 0.525 0.475
Cd: 0.750 0.475 0.525
Li: 0.750 0.764 0.236
Li: 0.250 0.236 0.764
Pr: 0.000 0.000 0.000
Pr: 0.500 0.000 0.000
Se: 0.250 0.898 0.102
Se: 0.072 0.648 0.352
Se: 0.428 0.648 0.352
Se: 0.572 0.352 0.648
Se: 0.928 0.352 0.648
Se: 0.750 0.102 0.898

Properties
magnetic moment: 0.0 Bohr magnetons per cell



Run B
## LiPrCdSe3 (PBE)

Data for LiPrCdSe3 after structural relaxation.

a = 11.616 Å, b = 4.259 Å, c = 13.624 Å
α = 90.00°, β = 90.00°, γ = 90.00°
Fractional coordinates of all 24 atoms:
Cd: 0.218 0.750 0.205
Cd: 0.718 0.750 0.295
Cd: 0.282 0.250 0.705
Cd: 0.782 0.250 0.795
Li: 0.625 0.750 0.024
Li: 0.125 0.750 0.476
Li: 0.875 0.250 0.524
Li: 0.375 0.250 0.976
Pr: 0.971 0.250 0.243
Pr: 0.471 0.250 0.257
Pr: 0.529 0.750 0.743
Pr: 0.029 0.750 0.757
Se: 0.411 0.750 0.099
Se: 0.026 0.750 0.108
Se: 0.720 0.250 0.169
Se: 0.220 0.250 0.331
Se: 0.526 0.750 0.392
Se: 0.911 0.750 0.401
Se: 0.089 0.250 0.599
Se: 0.474 0.250 0.608
Se: 0.780 0.750 0.669
Se: 0.280 0.750 0.831
Se: 0.974 0.250 0.892
Se: 0.589 0.250 0.901

Properties
magnetic moment: 0.0 Bohr magnetons per cell



run B is favored, and the nearest alternative lies 4.2 kJ/mol of atoms above it.



Run A
## LiPrCdTe3 (PBE)

Data for LiPrCdTe3 after structural relaxation.

a = 4.461 Å, b = 12.956 Å, c = 13.320 Å
α = 90.00°, β = 90.00°, γ = 90.00°
Fractional coordinates of all 24 atoms:
Cd: 0.250 0.784 0.264
Cd: 0.750 0.216 0.736
Cd: 0.250 0.716 0.764
Li: 0.750 0.006 0.114
Li: 0.250 0.506 0.386
Li: 0.750 0.494 0.614
Li: 0.250 0.994 0.886
Pr: 0.750 0.680 0.047
Pr: 0.250 0.180 0.453
Pr: 0.750 0.820 0.547
Pr: 0.250 0.320 0.953
Te: 0.250 0.863 0.063
Te: 0.750 0.428 0.084
Te: 0.250 0.147 0.215
Te: 0.750 0.647 0.285
Te: 0.250 0.928 0.416
Te: 0.750 0.363 0.437
Te: 0.250 0.637 0.563
Te: 0.750 0.072 0.584
Te: 0.250 0.353 0.715
Te: 0.750 0.853 0.785
Te: 0.250 0.572 0.916
Te: 0.750 0.137 0.937
Cd: 0.750 0.284 0.236

Properties
magnetic moment: 0.0 Bohr magnetons per cell



Run B
## LiPrCdTe3 (PBE)

Data for LiPrCdTe3 after structural relaxation.

a = 7.601 Å, b = 7.601 Å, c = 11.888 Å
α = 90.00°, β = 90.00°, γ = 33.62°
Fractional coordinates of all 12 atoms:
Cd: 0.481 0.481 0.250
Cd: 0.519 0.519 0.750
Li: 0.793 0.793 0.250
Li: 0.207 0.207 0.750
Pr: 0.000 0.000 0.000
Pr: 0.000 0.000 0.500
Te: 0.352 0.352 0.072
Te: 0.104 0.104 0.250
Te: 0.352 0.352 0.428
Te: 0.648 0.648 0.572
Te: 0.896 0.896 0.750
Te: 0.648 0.648 0.928

Properties
magnetic moment: 0.0 Bohr magnetons per cell



run A is favored, and the nearest alternative lies 0.6 kJ/mol of atoms above it.



Run A
## LiPuCd (PBE)

Data for LiPuCd after structural relaxation.

a = 4.749 Å, b = 4.749 Å, c = 4.749 Å
α = 60.00°, β = 60.00°, γ = 60.00°
Fractional coordinates of all 3 atoms:
Cd: 0.750 0.750 0.750
Li: 0.000 0.000 0.000
Pu: 0.250 0.250 0.250

Properties
magnetic moment: 7.3 Bohr magnetons per cell



Run B
## LiPuCd (PBE)

Data for LiPuCd after structural relaxation.

a = 4.994 Å, b = 4.994 Å, c = 4.994 Å
α = 60.00°, β = 60.00°, γ = 60.00°
Fractional coordinates of all 3 atoms:
Cd: 0.750 0.750 0.750
Li: 0.250 0.250 0.250
Pu: 0.000 0.000 0.000

Properties
magnetic moment: 6.7 Bohr magnetons per cell



run A is favored, and the nearest alternative lies 26.3 kJ/mol of atoms above it.